A crystal of Zn2CrIr relaxed with PBEsol, computed with SCAN.

```
Zn2CrIr
1.0
2.981 0.000 0.000
0.000 4.261 0.000
-1.491 -2.130 4.189
Zn Cr Ir
2 1 1
direct
0.003 0.003 0.006 Zn
0.749 0.249 0.498 Zn
0.503 0.503 0.007 Cr
0.245 0.745 0.490 Ir
```

Values from the calculation:
Its energy above the lowest structure with this stoichiometry is 56.5 meV per atom. The space group is Imm2 (44). For the calculated formation energy, the calculation gives -0.087 eV per atom.

A crystal of Hf2Ti2Pb relaxed with PBEsol, computed with SCAN.

```
Hf2Ti2Pb
1.0
-1.689 -3.427 -0.564
3.975 -2.827 5.279
-5.098 1.728 4.764
Pb Ti Hf
2 4 4
direct
0.000 0.500 0.500 Pb
0.000 0.000 0.000 Pb
0.000 0.371 0.871 Ti
0.000 0.629 0.129 Ti
0.000 0.129 0.371 Ti
0.000 0.871 0.629 Ti
0.500 0.334 0.166 Hf
0.500 0.166 0.666 Hf
0.500 0.834 0.334 Hf
0.500 0.666 0.834 Hf
```

Values from the calculation:
The space group is P4/mbm (127). For the calculated formation energy, the calculation gives -0.021 eV per atom.

A crystal of Ba2TlBr relaxed with PBEsol, computed with SCAN.

```
Ba2TlBr
1.0
-3.092 0.514 3.348
0.097 -2.768 3.656
4.383 4.863 6.443
Ba Tl Br
2 1 1
direct
0.752 0.752 0.744 Ba
0.248 0.248 0.256 Ba
0.000 0.000 0.000 Tl
0.500 0.500 0.500 Br
```

Values from the calculation:
Its energy above the lowest structure with this stoichiometry is 3.2 meV per atom. For the uncorrected formation energy, the calculation gives -1182 meV/atom. The space group is R-3m (166).

| no. | E (eV per atom) |
| --- | --- |
| 1 | -29.216 |
| 2 | -46.658 |
| 3 | -43.911 |